1.
## NbMo2As (GGA-PBE)

Data for a geometry-optimized NbMo2As structure.

Computed properties:
DFT total energy in hartree per atom: -0.330
Space-group type: F-43m, No. 216
Crystal system: cubic
Total magnetic moment in μB per atom: 0.003

a b c (Å): 4.496 4.496 4.496
angles (deg): 60.00 60.00 60.00
Fractional coordinates of all 4 atoms:
1 Mo 0.750 0.750 0.750
2 Mo 0.000 0.000 0.000
3 Nb 0.250 0.250 0.250
4 As 0.500 0.500 0.500


2.
## TaNiMoAs (GGA-PBE)

Data for a geometry-optimized TaNiMoAs structure.

Computed properties:
DFT total energy in hartree per atom: -0.297
Excess energy over the best structure of this formula in the dataset in meV per atom: 0
Space-group type: F-43m, No. 216
Crystal system: cubic
Total magnetic moment in μB per atom: 0.005

a b c (Å): 4.410 4.410 4.410
angles (deg): 60.00 60.00 60.00
Fractional coordinates of all 4 atoms:
1 Mo 0.250 0.250 0.250
2 As 0.000 0.000 0.000
3 Ni 0.750 0.750 0.750
4 Ta 0.500 0.500 0.500


3.
## TcNiMoAs (GGA-PBE)

Data for a geometry-optimized TcNiMoAs structure.

Computed properties:
DFT total energy in hartree per atom: -0.281
Space-group type: F-43m, No. 216
Crystal system: cubic
Total magnetic moment in μB per atom: 0.058

a b c (Å): 4.318 4.318 4.318
angles (deg): 60.00 60.00 60.00
Fractional coordinates of all 4 atoms:
1 As 0.000 0.000 0.000
2 Tc 0.250 0.250 0.250
3 Ni 0.750 0.750 0.750
4 Mo 0.500 0.500 0.500


4.
## NiMoAsW (GGA-PBE)

Data for a geometry-optimized NiMoAsW structure.

Computed properties:
DFT total energy in hartree per atom: -0.299
Space-group type: F-43m, No. 216
Crystal system: cubic
Total magnetic moment in μB per atom: 0.127

a b c (Å): 4.354 4.354 4.354
angles (deg): 60.00 60.00 60.00
Fractional coordinates of all 4 atoms:
1 W 0.500 0.500 0.500
2 Mo 0.250 0.250 0.250
3 Ni 0.750 0.750 0.750
4 As 0.000 0.000 0.000


5.
## YNiMoAs (GGA-PBE)

Data for a geometry-optimized YNiMoAs structure.

Computed properties:
DFT total energy in hartree per atom: -0.247
Space-group type: F-43m, No. 216
Crystal system: cubic
Total magnetic moment in μB per atom: 0.004

a b c (Å): 4.541 4.541 4.541
angles (deg): 60.00 60.00 60.00
Fractional coordinates of all 4 atoms:
1 Ni 0.750 0.750 0.750
2 Mo 0.250 0.250 0.250
3 As 0.000 0.000 0.000
4 Y 0.500 0.500 0.500


6.
## ZnNiMoAs (GGA-PBE)

Data for a geometry-optimized ZnNiMoAs structure.

Computed properties:
DFT total energy in hartree per atom: -0.201
Space-group type: F-43m, No. 216
Crystal system: cubic
Total magnetic moment in μB per atom: 0.000

a b c (Å): 4.284 4.284 4.284
angles (deg): 60.00 60.00 60.00
Fractional coordinates of all 4 atoms:
1 Ni 0.750 0.750 0.750
2 Zn 0.500 0.500 0.500
3 As 0.000 0.000 0.000
4 Mo 0.250 0.250 0.250